Record 1
VASP calculation (meta-GGA SCAN) on a PBEsol-optimized structure of TaOsRu2.

Properties
- Formation enthalpy at 0 K: -110 meV per atom

Lattice parameters (Å, degrees): 2.758 4.737 4.722 99.59 106.93 90.02
Fractional positions:
Os 0.745 0.227 0.489
Ru 0.000 0.007 0.001
Ru 0.255 0.761 0.510
Ta 0.500 0.505 0.000

***

Record 2
VASP calculation (meta-GGA SCAN) on a PBEsol-optimized structure of TaOsRu2.

Properties
- Formation enthalpy at 0 K: -218 meV per atom

Lattice parameters (Å, degrees): 3.854 3.871 3.871 90.00 90.00 90.00
Fractional positions:
Ru 0.000 0.000 0.500
Ru 0.000 0.500 0.000
Os 0.500 0.000 0.000
Ta 0.500 0.500 0.500